[1]
The following is a GGA-PBE calculation of Er2Cu4Ni3 after structural relaxation, from the Alexandria database.

Cell: 4.9354 4.9354 6.7295 Å, 100.27 100.27 120.91°
Atoms (fractional coordinates):
Cu  0.9994  0.6636  0.6631
Cu  0.6636  0.9994  0.6631
Cu  0.0006  0.3364  0.3369
Cu  0.3364  0.0006  0.3369
Er  0.3700  0.3700  0.7399
Er  0.6300  0.6300  0.2601
Ni  0.5000  0.0000  0.0000
Ni  0.0000  0.5000  0.0000
Ni  0.0000  0.0000  0.0000

Calculated values
space-group type: Fmmm
DOS(E_F): 4.52 states/eV per cell

---

[2]
The following is a GGA-PBE calculation of HoThScAg after structural relaxation, from the Alexandria database.

Cell: 3.5640 3.5640 8.0845 Å, 90.00 90.00 90.00°
Atoms (fractional coordinates):
Th  0.0000  0.0000  0.0841
Ag  0.0000  0.0000  0.5557
Ho  0.5000  0.5000  0.7871
Sc  0.5000  0.5000  0.3578

Calculated values
space-group type: P4mm
DOS(E_F): 4.54 states/eV per cell

---

[3]
The following is a GGA-PBE calculation of Nd6Si2Pd after structural relaxation, from the Alexandria database.

Cell: 6.3856 8.1509 10.0694 Å, 90.00 90.15 90.00°
Atoms (fractional coordinates):
Nd  0.3748  0.8173  0.4359
Nd  0.3630  0.5394  0.7368
Nd  0.1370  0.0394  0.7632
Nd  0.1252  0.3173  0.0641
Nd  0.1445  0.3352  0.4410
Nd  0.6445  0.1648  0.9410
Nd  0.8630  0.9606  0.2368
Nd  0.8555  0.6648  0.5590
Nd  0.3555  0.8352  0.0590
Nd  0.6370  0.4606  0.2632
Nd  0.6252  0.1827  0.5641
Nd  0.8748  0.6827  0.9359
Si  0.4210  0.1201  0.2509
Si  0.9210  0.3799  0.7509
Si  0.0790  0.6201  0.2491
Si  0.5790  0.8799  0.7491
Pd  0.5000  0.5000  0.0000
Pd  0.0000  0.0000  0.5000

Calculated values
E_form (uncorrected): -0.398 eV per atom
space-group type: P2_1/c
DOS(E_F): 21.96 states/eV per cell

---

no.,total energy (eV/atom),total magnetic moment (μB/f.u.)
1,-5.099,0.0
2,-5.430,0.0
3,-5.359,0.0